# AlGaN, optimized geometry, DFT PBE-GGA
# final energy	-15.57	eV/f.u.
# N(E_F)	0.78	states/eV/f.u.
# ΔE_f (raw)	-0.157	eV/atom
# V	86	Å³/cell
data_AlGaN
_chemical_formula_sum 'Al2 Ga2 N2'
_cell_length_a 3.193
_cell_length_b 4.951
_cell_length_c 5.695
_cell_angle_alpha 90.00
_cell_angle_beta 106.20
_cell_angle_gamma 90.00
_space_group_name_H-M_alt 'P 1 21/m 1'
_space_group_IT_number 11
loop_
_space_group_symop_operation_xyz
'x,y,z'
'-x,-y,-z'
'-x,y+1/2,-z'
'x,-y+1/2,z'
loop_
_atom_site_label
_atom_site_type_symbol
_atom_site_fract_x
_atom_site_fract_y
_atom_site_fract_z
Al1 Al 0.221 0.250 0.441
Ga1 Ga 0.000 0.000 0.000
N1 N 0.200 0.750 0.400



# AlGaN2, optimized geometry, DFT PBE-GGA
# energy above the lowest structure with this stoichiometry	658.2	meV per atom
# final energy	-24.53	eV/f.u.
# N(E_F)	0.00	states/eV/f.u.
# ΔE_f (raw)	-0.279	eV/atom
# V	141	Å³/cell
data_AlGaN2
_chemical_formula_sum 'Al3 Ga3 N6'
_cell_length_a 3.1440
_cell_length_b 3.1440
_cell_length_c 16.4627
_cell_angle_alpha 90.00
_cell_angle_beta 90.00
_cell_angle_gamma 120.00
_space_group_name_H-M_alt 'R -3 m'
_space_group_IT_number 166
_space_group_name_Hall '-R 3 2"'
loop_
_atom_site_label
_atom_site_type_symbol
_atom_site_fract_x
_atom_site_fract_y
_atom_site_fract_z
Al1 Al 0.0000 0.0000 0.0000
Ga1 Ga 0.0000 0.0000 0.5000
N1 N 0.0000 0.0000 0.3930



# Al2GaN, optimized geometry, DFT PBE-GGA
# energy above the lowest structure with this stoichiometry	0.0	meV per atom
# final energy	-20.03	eV/f.u.
# N(E_F)	0.72	states/eV/f.u.
# ΔE_f (raw)	-0.298	eV/atom
# V	258	Å³/cell
data_Al2GaN
_chemical_formula_sum 'Al8 Ga4 N4'
_cell_length_a 5.388
_cell_length_b 5.388
_cell_length_c 8.895
_cell_angle_alpha 90.00
_cell_angle_beta 90.00
_cell_angle_gamma 90.00
_space_group_name_H-M_alt 'I -4 2 d'
_space_group_IT_number 122
_space_group_name_Hall 'I -4 2bw'
loop_
_atom_site_label
_atom_site_type_symbol
_atom_site_fract_x
_atom_site_fract_y
_atom_site_fract_z
Al1 Al 0.149 0.250 0.125
Ga1 Ga 0.000 0.000 0.500
N1 N 0.000 0.000 0.000